Ta2SbAs | the Alexandria database | PBE-GGA | relaxed; E_form (uncorrected) = 0.2 eV per formula unit
1.0
2.9498 0.0000 0.0000
0.0000 2.9498 0.0000
0.0000 0.0000 10.0999
Sb As Ta
1 1 2
direct
0.5000 0.5000 0.7974
0.0000 0.0000 0.4362
0.0000 0.0000 0.0213
0.5000 0.5000 0.2452

Sc2CrCl8 | the Alexandria database | PBE-GGA | relaxed; E_form (uncorrected) = -18.4 eV per formula unit
1.0
6.6400 0.0946 0.0786
0.2128 7.8390 0.3096
0.2128 1.7375 7.6503
Sc Cr Cl
2 1 8
direct
0.3297 0.1982 0.1982
0.6703 0.8018 0.8018
0.0000 0.0000 0.0000
0.8319 0.0827 0.7242
0.1681 0.2758 0.9173
0.6805 0.1684 0.1684
0.3195 0.8316 0.8316
0.8319 0.7242 0.0827
0.1681 0.9173 0.2758
0.2417 0.3774 0.3774
0.7583 0.6226 0.6226

NaCrTeRh2 | the Alexandria database | PBE-GGA | relaxed; E_form (uncorrected) = 3.3 eV per formula unit
1.0
-1.5463 3.1477 -3.4697
-4.8202 -1.3321 0.9396
-0.3271 3.5724 3.3866
Cr Te Rh Na
1 1 2 1
direct
0.0000 0.5000 0.0000
0.0000 0.0000 0.0000
0.0000 0.0000 0.5000
0.5000 0.0000 0.0000
0.5000 0.5000 0.5000

TlCrW2 | the Alexandria database | PBE-GGA | relaxed; formation energy = 695 meV per atom
1.0
-0.1193 2.9190 -2.9755
-1.6072 -1.7487 -1.6510
-6.0732 0.8429 1.0705
Cr Tl W
1 1 2
direct
0.0000 0.4664 0.4435
0.5000 0.7454 0.7446
0.0000 0.0315 0.0542
0.5000 0.2567 0.2577

| no. | energy (eV/atom) |
| --- | --- |
| 1 | -8.07 |
| 2 | -5.04 |
| 3 | -5.10 |
| 4 | -8.78 |